First-principles (GGA-PBE) data for Ba2NbRh after structural relaxation, as listed in the Alexandria database.

abc: 5.5921 5.5921 5.5921
angles: 60.00 60.00 60.00
Fractional coordinates of all 4 atoms:
Ba 0.2500 0.2500 0.2500
Ba 0.7500 0.7500 0.7500
Nb 0.0000 0.0000 0.0000
Rh 0.5000 0.5000 0.5000

## Properties
Calculated density, g/cm3: 6.3
Formation energy from the elements, eV per atom: 0.84